# 1
Density functional theory data (SCAN) for NaTcSe2Br at its PBEsol-relaxed geometry.

a b c (Å): 4.9868 4.9868 5.1221
angles (deg): 90.00 90.00 90.00
Closest atoms and distances in Å follow each position.
Sites, in units of the cell vectors:
Na 0.0000 0.0000 0.0000  4 Se 2.49, 2 Br 2.56
Se 0.0000 0.5000 0.0000  2 Na 2.49
Se 0.5000 0.0000 0.0000  2 Na 2.49
Tc 0.5000 0.5000 0.5000  4 Br 3.53, 8 Se 3.57
Br 0.0000 0.0000 0.5000  2 Na 2.56

## Properties
The energy relative to the elements, uncorrected is 0.81 eV per atom. As for the total energy: -1.3941 Ry/atom.

# 2
Density functional theory data (SCAN) for AlAg4P at its PBEsol-relaxed geometry.

a b c (Å): 5.3210 5.3210 5.3210
angles (deg): 60.00 60.00 60.00
Closest atoms and distances in Å follow each position.
Sites, in units of the cell vectors:
Ag 0.8746 0.3751 0.3751  6 Ag 2.66
Ag 0.3751 0.3751 0.3751  6 Ag 2.66
Ag 0.3751 0.3751 0.8746  6 Ag 2.66
Ag 0.3751 0.8746 0.3751  6 Ag 2.66
Al 0.7500 0.7500 0.7500  12 Ag 3.12, 4 P 3.26
P 0.0000 0.0000 0.0000  12 Ag 3.12, 4 Al 3.26

## Properties
Its formation energy is 0.3961 eV/atom. As for the total energy: -1.7302 Ry/atom.

# 3
Density functional theory data (SCAN) for LiPW2 at its PBEsol-relaxed geometry.

a b c (Å): 3.2753 3.9591 4.1831
angles (deg): 90.00 90.00 90.00
Closest atoms and distances in Å follow each position.
Sites, in units of the cell vectors:
Li 0.5000 0.5000 0.0000  4 W 2.57, 4 P 2.66
P 0.0000 0.5000 0.5000  4 W 2.57, 4 Li 2.66
W 0.0000 0.0000 0.0000  4 Li 2.57, 4 W 2.66
W 0.5000 0.0000 0.5000  4 P 2.57, 4 W 2.66

## Properties
Its formation energy is 0.3432 eV/atom. As for the total energy: -2.7707 Ry/atom.

# 4
Density functional theory data (SCAN) for Sc2ReRu at its PBEsol-relaxed geometry.

a b c (Å): 2.8965 4.4756 5.3930
angles (deg): 94.99 90.00 108.88
Closest atoms and distances in Å follow each position.
Sites, in units of the cell vectors:
Re 0.0000 0.0000 0.5000  6 Sc 2.63-2.81, 2 Re 2.90
Ru 0.5000 0.0000 0.0000  6 Sc 2.60-2.80, 2 Ru 2.90
Sc 0.7496 0.4991 0.7535  3 Ru 2.60-2.80, 3 Re 2.63-2.81, 2 Sc 2.90
Sc 0.2504 0.5009 0.2465  3 Ru 2.60-2.80, 3 Re 2.63-2.81, 2 Sc 2.90

## Properties
Its formation energy is -0.0086 eV/atom. As for the total energy: -2.4702 Ry/atom.

# 5
Density functional theory data (SCAN) for Mn8Os at its PBEsol-relaxed geometry.

a b c (Å): 3.5020 5.5487 5.5487
angles (deg): 84.28 71.60 71.60
Closest atoms and distances in Å follow each position.
Sites, in units of the cell vectors:
Mn 0.0000 0.3391 0.6609  11 Mn 2.40-2.50, 1 Os 2.52
Mn 0.0000 0.6609 0.3391  11 Mn 2.40-2.50, 1 Os 2.52
Mn 0.3391 0.6609 0.6609  11 Mn 2.40-2.50, 1 Os 2.52
Mn 0.3276 0.0000 0.3448  10 Mn 2.39-2.57, 2 Os 2.52
Mn 0.3276 0.3448 0.0000  10 Mn 2.39-2.57, 2 Os 2.52
Mn 0.6609 0.3391 0.3391  11 Mn 2.40-2.50, 1 Os 2.52
Mn 0.6724 0.6552 0.0000  10 Mn 2.39-2.57, 2 Os 2.52
Mn 0.6724 0.0000 0.6552  10 Mn 2.39-2.57, 2 Os 2.52
Os 0.0000 0.0000 0.0000  12 Mn 2.52

## Properties
Its formation energy is 0.0205 eV/atom. As for the total energy: -1.7781 Ry/atom.

# 6
Density functional theory data (SCAN) for SrTaMn2 at its PBEsol-relaxed geometry.

a b c (Å): 2.9439 4.9488 4.9488
angles (deg): 90.00 90.00 90.00
Closest atoms and distances in Å follow each position.
Sites, in units of the cell vectors:
Mn 0.0000 0.5000 0.0000  4 Sr 2.88, 4 Ta 2.88, 2 Mn 2.94
Mn 0.0000 0.0000 0.5000  4 Sr 2.88, 4 Ta 2.88, 2 Mn 2.94
Sr 0.5000 0.5000 0.5000  8 Mn 2.88, 2 Sr 2.94
Ta 0.5000 0.0000 0.0000  8 Mn 2.88, 2 Ta 2.94

## Properties
As for the excess energy over the best structure of this formula in the dataset: 0 meV/atom. Its formation energy is 0.6440 eV/atom. As for the total energy: -2.2563 Ry/atom.

# 7
Density functional theory data (SCAN) for Li2LaTa2O7 at its PBEsol-relaxed geometry.

a b c (Å): 3.9612 3.9612 9.5305
angles (deg): 101.99 101.99 90.00
Closest atoms and distances in Å follow each position.
Sites, in units of the cell vectors:
La 0.0000 0.0000 0.0000  12 O 2.66-2.80
Li 0.2500 0.7500 0.5000  4 O 2.07
Li 0.7500 0.2500 0.5000  4 O 2.07
O 0.4028 0.9028 0.8055  2 Ta 2.00
O 0.7173 0.7173 0.4347  1 Ta 1.89, 4 Li 2.07
O 0.0972 0.5972 0.1945  2 Ta 2.00
O 0.5972 0.0972 0.1945  2 Ta 2.00
O 0.2827 0.2827 0.5653  1 Ta 1.89, 4 Li 2.07
O 0.9028 0.4028 0.8055  2 Ta 2.00
O 0.5000 0.5000 0.0000  2 Ta 2.07
Ta 0.3863 0.3863 0.7726  6 O 1.89-2.07
Ta 0.6137 0.6137 0.2274  6 O 1.89-2.07

## Properties
The energy relative to the elements, uncorrected is -3.04 eV per atom. As for the total energy: -1.5994 Ry/atom.

# 8
Density functional theory data (SCAN) for RbScW2O8 at its PBEsol-relaxed geometry.

a b c (Å): 7.3480 7.4015 7.4015
angles (deg): 93.92 118.57 61.43
Closest atoms and distances in Å follow each position.
Sites, in units of the cell vectors:
Rb 0.7500 0.8006 0.8006  10 O 2.80-2.95
Rb 0.2500 0.1994 0.1994  10 O 2.80-2.95
Sc 0.7500 0.2237 0.2237  6 O 2.10-2.15
Sc 0.2500 0.7763 0.7763  6 O 2.10-2.15
W 0.7828 0.6951 0.3015  3 O 1.81-1.84
W 0.2172 0.3049 0.6985  3 O 1.81-1.84
W 0.7172 0.3015 0.6951  3 O 1.81-1.84
W 0.2828 0.6985 0.3049  3 O 1.81-1.84
O 0.5605 0.7565 0.3806  1 W 1.84
O 0.4395 0.2435 0.6194  1 W 1.84
O 0.9395 0.3806 0.7565  1 W 1.84
O 0.0605 0.6194 0.2435  1 W 1.84
O 0.8966 0.0412 0.6659  1 W 1.81
O 0.1034 0.9588 0.3341  1 W 1.81
O 0.6034 0.6659 0.0412  1 W 1.81
O 0.3966 0.3341 0.9588  1 W 1.81
O 0.9485 0.3762 0.3938  2 W 2.04-2.05, 1 Sc 2.15
O 0.0515 0.6238 0.6062  2 W 2.04-2.05, 1 Sc 2.15
O 0.5515 0.3938 0.3762  2 W 2.04-2.05, 1 Sc 2.15
O 0.4485 0.6062 0.6238  2 W 2.04-2.05, 1 Sc 2.15
O 0.7152 0.9630 0.2512  1 W 1.82
O 0.2848 0.0370 0.7488  1 W 1.82
O 0.7848 0.2512 0.9630  1 W 1.82
O 0.2152 0.7488 0.0370  1 W 1.82

## Properties
The energy relative to the elements, uncorrected is -2.66 eV per atom. As for the total energy: -1.5690 Ry/atom.

# 9
Density functional theory data (SCAN) for DyH3O3 at its PBEsol-relaxed geometry.

a b c (Å): 3.4881 6.2055 6.2055
angles (deg): 120.00 90.00 90.00
Closest atoms and distances in Å follow each position.
Sites, in units of the cell vectors:
H 0.7500 0.1307 0.2776  1 O 0.98
H 0.2500 0.2776 0.1469  1 O 0.98
H 0.7500 0.7224 0.8531  1 O 0.98
H 0.2500 0.8693 0.7224  1 O 0.98
H 0.2500 0.8531 0.1307  1 O 0.98
H 0.7500 0.1469 0.8693  1 O 0.98
O 0.2500 0.3934 0.0831  1 H 0.98
O 0.7500 0.3104 0.3934  1 H 0.98
O 0.7500 0.6066 0.9169  1 H 0.98
O 0.2500 0.6896 0.6066  1 H 0.98
O 0.2500 0.9169 0.3104  1 H 0.98
O 0.7500 0.0831 0.6896  1 H 0.98
Dy 0.7500 0.6667 0.3333  9 O 2.39-2.42
Dy 0.2500 0.3333 0.6667  9 O 2.39-2.42

## Properties
As for the total energy: -0.9634 Ry/atom.